This record from Alexandria via LeMat-Bulk describes RbVF3 after structural relaxation. The functional is GGA+U.

```
data_RbVF3
_cell_length_a 7.7978
_cell_length_b 7.8972
_cell_length_c 6.4477
_cell_angle_alpha 90.00
_cell_angle_beta 90.00
_cell_angle_gamma 90.00
_space_group_name_H-M_alt 'C m c m'
_space_group_IT_number 63
_space_group_name_Hall '-C 2c 2'
loop_
_atom_site_label
_atom_site_type_symbol
_atom_site_fract_x
_atom_site_fract_y
_atom_site_fract_z
Rb1 Rb 0.0000 0.1652 0.2500
V1 V 0.0000 0.3362 0.7500
F1 F 0.0000 0.5000 0.0000
F2 F 0.1754 0.1522 0.7500
```

Magnetic moment in μB/f.u.: 3.00
Electronic total energy in eV/atom: -5.216